No. 1
First-principles (PBE) data for Cr2FeH2 after structural relaxation, as listed in Alexandria.

Crystal system: tetragonal
E in eV per cell: -67.78
Polymorph energy (0 for the lowest one) in meV per atom: 0

Lattice parameters (Å, degrees): 2.643 2.643 11.057 90.00 90.00 90.00
Space group I4/mmm (No. 139)
Asymmetric unit:
Cr 0.000 0.000 0.145 [4 per cell]
Fe 0.000 0.000 0.500 [2 per cell]
H 0.000 0.500 0.250 [4 per cell]

No. 2
First-principles (PBE) data for Mn3Mo after structural relaxation, as listed in Alexandria.

Crystal system: orthorhombic
ΔE_f in meV per atom: 487
E in eV per cell: -145.57

Lattice parameters (Å, degrees): 6.285 7.723 4.259 90.00 90.00 90.00
Space group Cmcm (No. 63)
Asymmetric unit:
Mn 0.000 0.064 0.250 [4 per cell]
Mn 0.173 0.249 0.750 [8 per cell]
Mo 0.000 0.416 0.250 [4 per cell]

No. 3
First-principles (PBE) data for Nd2Dy8Cd after structural relaxation, as listed in Alexandria.

Crystal system: monoclinic
ΔE_f in meV per atom: -8
E in eV per cell: -94.72

Lattice parameters (Å, degrees): 18.011 4.994 7.895 90.00 105.51 90.00
Space group C2/m (No. 12)
Asymmetric unit:
Nd 0.223 0.000 0.137 [4 per cell]
Dy 0.045 0.000 0.222 [4 per cell]
Dy 0.088 0.500 0.945 [4 per cell]
Dy 0.133 0.000 0.674 [4 per cell]
Dy 0.180 0.500 0.410 [4 per cell]
Cd 0.000 0.500 0.500 [2 per cell]

No. 4
First-principles (PBE) data for CaPtSeN2 after structural relaxation, as listed in Alexandria.

Crystal system: tetragonal
E in eV per cell: -26.18
Polymorph energy (0 for the lowest one) in meV per atom: 0

Lattice parameters (Å, degrees): 3.983 3.983 5.455 90.00 90.00 90.00
Space group P4/mmm (No. 123)
Asymmetric unit:
Ca 0.000 0.000 0.000 [1 per cell]
Pt 0.500 0.500 0.500 [1 per cell]
Se 0.500 0.500 0.000 [1 per cell]
N 0.000 0.500 0.500 [2 per cell]

No. 5
First-principles (PBE) data for RePF3 after structural relaxation, as listed in Alexandria.

Crystal system: cubic
E in eV per cell: -22.42
Polymorph energy (0 for the lowest one) in meV per atom: 347

Lattice parameters (Å, degrees): 4.320 4.320 4.320 90.00 90.00 90.00
Space group Pm-3m (No. 221)
Asymmetric unit:
Re 0.000 0.000 0.000 [1 per cell]
P 0.500 0.500 0.500 [1 per cell]
F 0.000 0.500 0.500 [3 per cell]

No. 6
First-principles (PBE) data for PIrS2Cl after structural relaxation, as listed in Alexandria.

Crystal system: tetragonal
E in eV per cell: -18.66
Polymorph energy (0 for the lowest one) in meV per atom: 495

Lattice parameters (Å, degrees): 4.593 4.593 4.234 90.00 90.00 90.00
Space group P4/mmm (No. 123)
Asymmetric unit:
P 0.000 0.000 0.000 [1 per cell]
Ir 0.500 0.500 0.500 [1 per cell]
S 0.000 0.500 0.000 [2 per cell]
Cl 0.000 0.000 0.500 [1 per cell]

No. 7
First-principles (PBE) data for RbInSnAs2 after structural relaxation, as listed in Alexandria.

Crystal system: monoclinic
ΔE_f in meV per atom: -285
E in eV per cell: -73.73

Lattice parameters (Å, degrees): 17.753 4.354 9.730 90.00 122.13 90.00
Space group C2/m (No. 12)
Asymmetric unit:
Rb 0.117 0.000 0.016 [4 per cell]
In 0.099 0.500 0.654 [4 per cell]
Sn 0.170 0.000 0.454 [4 per cell]
As 0.047 0.500 0.317 [4 per cell]
As 0.203 0.000 0.763 [4 per cell]

No. 8
First-principles (PBE) data for MgMo2Pt after structural relaxation, as listed in Alexandria.

Crystal system: monoclinic
ΔE_f in meV per atom: -94
E in eV per cell: -29.68

Lattice parameters (Å, degrees): 2.775 4.038 5.806 90.00 96.01 90.00
Space group Pm (No. 6)
Asymmetric unit:
Mg 0.000 0.000 0.000 [1 per cell]
Mo 0.524 0.500 0.273 [1 per cell]
Mo 0.886 0.000 0.500 [1 per cell]
Pt 0.460 0.500 0.778 [1 per cell]

Number 1: DOS at the Fermi energy 9.4 states/eV/cell. Number 2: DOS at the Fermi energy 22.5 states/eV/cell. Number 3: DOS at the Fermi energy 31.2 states/eV/cell. Number 4: DOS at the Fermi energy 3.8 states/eV/cell. Number 5: DOS at the Fermi energy 1.2 states/eV/cell. Number 6: DOS at the Fermi energy 6.1 states/eV/cell. Number 7: DOS at the Fermi energy 1.7 states/eV/cell. Number 8: DOS at the Fermi energy 2.0 states/eV/cell.